! TbPu2Ge2Pd2, optimized geometry, DFT PBE-GGA; values from VASP
&SYSTEM
  ibrav = 0, nat = 7, ntyp = 4
/
ATOMIC_SPECIES
Tb 158.93 Tb.upf
Pu 244.00 Pu.upf
Ge 72.64 Ge.upf
Pd 106.42 Pd.upf
ATOMIC_POSITIONS angstrom
Tb 0.0000 0.0000 0.0000
Pu 0.0000 0.0000 4.0235
Pu 0.0000 0.0000 22.1015
Ge 0.0000 0.0000 6.9387
Ge 0.0000 0.0000 19.1864
Pd 0.0000 0.0000 11.0734
Pd 0.0000 0.0000 15.0517
CELL_PARAMETERS angstrom
2.1007 1.2129 8.7084
-2.1007 1.2129 8.7084
0.0000 -2.4257 8.7084
! D(E_F) in states/eV per cell: 9.52
! Calculated formation energy in meV/atom: -428
! Crystal system: trigonal
! Magnetization in μB/f.u.: 0.8

=====

! ThMg2Tc, optimized geometry, DFT PBE-GGA; values from VASP
&SYSTEM
  ibrav = 0, nat = 8, ntyp = 3
/
ATOMIC_SPECIES
Th 232.04 Th.upf
Mg 24.30 Mg.upf
Tc 98.00 Tc.upf
ATOMIC_POSITIONS angstrom
Th -0.0024 2.3083 0.6139
Th 2.0334 6.9248 4.2472
Mg 0.0047 0.4504 3.3734
Mg 0.0047 4.1662 3.3734
Mg 2.0263 5.0669 1.4877
Mg 2.0263 8.7827 1.4877
Tc 0.0013 6.9248 2.3519
Tc 2.0296 2.3083 2.5092
CELL_PARAMETERS angstrom
4.0460 0.0000 0.0000
0.0000 9.2330 0.0000
-2.0150 0.0000 4.8611
! D(E_F) in states/eV per cell: 6.41
! Calculated formation energy in meV/atom: 18
! Crystal system: monoclinic
! Magnetization in μB/f.u.: 0.0

=====

! CsAlPb3, optimized geometry, DFT PBE-GGA; values from VASP
&SYSTEM
  ibrav = 0, nat = 5, ntyp = 3
/
ATOMIC_SPECIES
Cs 132.91 Cs.upf
Al 26.98 Al.upf
Pb 207.20 Pb.upf
ATOMIC_POSITIONS angstrom
Cs 0.0000 0.0000 0.0000
Al 2.8697 2.8697 2.8697
Pb 0.0000 2.8697 2.8697
Pb 2.8697 0.0000 2.8697
Pb 2.8697 2.8697 0.0000
CELL_PARAMETERS angstrom
5.7395 0.0000 0.0000
0.0000 5.7395 0.0000
0.0000 0.0000 5.7395
! D(E_F) in states/eV per cell: 3.67
! Calculated formation energy in meV/atom: 181
! Crystal system: cubic
! E above lowest polymorph in eV/f.u.: 0.00
! Magnetization in μB/f.u.: 0.0

=====

! CuAsSe2Cl, optimized geometry, DFT PBE-GGA; values from VASP
&SYSTEM
  ibrav = 0, nat = 5, ntyp = 4
/
ATOMIC_SPECIES
Cu 63.55 Cu.upf
As 74.92 As.upf
Se 78.96 Se.upf
Cl 35.45 Cl.upf
ATOMIC_POSITIONS angstrom
Cu 0.0000 0.0000 0.0000
As 2.5371 2.5371 0.0000
Se 0.0000 2.5371 2.4229
Se 2.5371 0.0000 2.4229
Cl 2.5371 2.5371 2.4229
CELL_PARAMETERS angstrom
5.0742 0.0000 0.0000
0.0000 5.0742 0.0000
0.0000 0.0000 4.8459
! D(E_F) in states/eV per cell: 3.96
! Crystal system: tetragonal
! E above lowest polymorph in eV/f.u.: 3.35
! Formation energy without anion corrections in meV per atom: 1209
! Magnetization in μB/f.u.: 2.0

=====

! K3Pm3ReO8, optimized geometry, DFT PBE-GGA; values from VASP
&SYSTEM
  ibrav = 0, nat = 15, ntyp = 4
/
ATOMIC_SPECIES
K 39.10 K.upf
Pm 145.00 Pm.upf
Re 186.21 Re.upf
O 16.00 O.upf
ATOMIC_POSITIONS angstrom
K -1.7473 -1.0088 6.3022
K -1.7473 1.0088 12.6044
K 0.0000 2.0177 6.3022
Pm -3.4947 0.0000 9.4533
Pm -1.7473 1.0088 3.1511
Pm 1.7473 1.0088 3.1511
Re 0.0000 0.0000 9.4533
O 0.0000 0.0000 4.3432
O -1.5671 -0.9048 10.5530
O 0.0000 -1.8096 8.3535
O -1.5671 0.9048 8.3535
O 1.5671 -0.9048 10.5530
O 0.0000 1.8096 10.5530
O 1.5671 0.9048 8.3535
O 0.0000 0.0000 14.5634
CELL_PARAMETERS angstrom
3.4947 2.0177 6.3022
-3.4947 2.0177 6.3022
0.0000 -4.0353 6.3022
! Crystal system: trigonal
! Formation energy without anion corrections in meV per atom: -2347
! Magnetization in μB/f.u.: 3.0

=====

! CaAgP, optimized geometry, DFT PBE-GGA; values from VASP
&SYSTEM
  ibrav = 0, nat = 9, ntyp = 3
/
ATOMIC_SPECIES
Ca 40.08 Ca.upf
Ag 107.87 Ag.upf
P 30.97 P.upf
ATOMIC_POSITIONS angstrom
Ca -1.4531 2.5168 0.0000
Ca 2.9061 0.0000 0.0000
Ca 2.0792 3.6013 0.0000
Ag -2.6398 4.5723 2.0983
Ag 0.8925 1.5458 2.0983
Ag 5.2796 0.0000 2.0983
P 0.0000 0.0000 0.0000
P 0.0000 4.0787 2.0983
P 3.5323 2.0394 2.0983
CELL_PARAMETERS angstrom
7.0646 0.0000 0.0000
-3.5323 6.1181 0.0000
0.0000 0.0000 4.1965
! D(E_F) in states/eV per cell: 0.12
! Calculated formation energy in meV/atom: -756
! Crystal system: hexagonal
! Magnetization in μB/f.u.: 0.0

=====

! PrZrZnAu, optimized geometry, DFT PBE-GGA; values from VASP
&SYSTEM
  ibrav = 0, nat = 4, ntyp = 4
/
ATOMIC_SPECIES
Pr 140.91 Pr.upf
Zr 91.22 Zr.upf
Zn 65.41 Zn.upf
Au 196.97 Au.upf
ATOMIC_POSITIONS angstrom
Pr 0.0000 0.0000 0.0000
Zr 3.5782 3.5782 3.5782
Zn 1.7891 1.7891 1.7891
Au 5.3673 5.3673 5.3673
CELL_PARAMETERS angstrom
0.0000 3.5782 3.5782
3.5782 0.0000 3.5782
3.5782 3.5782 0.0000
! D(E_F) in states/eV per cell: 3.81
! Calculated formation energy in meV/atom: -297
! Crystal system: cubic
! Magnetization in μB/f.u.: 1.2

=====

! SrTe2PbN, optimized geometry, DFT PBE-GGA; values from VASP
&SYSTEM
  ibrav = 0, nat = 5, ntyp = 4
/
ATOMIC_SPECIES
Sr 87.62 Sr.upf
Te 127.60 Te.upf
Pb 207.20 Pb.upf
N 14.01 N.upf
ATOMIC_POSITIONS angstrom
Sr 0.0000 0.0000 0.0000
Te 0.0000 2.9957 2.2441
Te 2.9957 0.0000 2.2441
Pb 2.9957 2.9957 2.2441
N 2.9957 2.9957 0.0000
CELL_PARAMETERS angstrom
5.9914 0.0000 0.0000
0.0000 5.9914 0.0000
0.0000 0.0000 4.4882
! D(E_F) in states/eV per cell: 2.34
! Crystal system: tetragonal
! E above lowest polymorph in eV/f.u.: 0.00
! Formation energy without anion corrections in meV per atom: 171
! Magnetization in μB/f.u.: 1.6